1.
# MoBr PBE relaxed
data_MoBr
_space_group_name_H-M_alt 'P 1'
_space_group_IT_number 1
_cell_length_a 3.196
_cell_length_b 4.694
_cell_length_c 7.277
_cell_angle_alpha 71.47
_cell_angle_beta 89.55
_cell_angle_gamma 70.12
loop_
_space_group_symop_operation_xyz
'x,y,z'
loop_
_atom_site_label
_atom_site_fract_x
_atom_site_fract_y
_atom_site_fract_z
Mo1 0.045 0.404 0.158
Mo2 0.955 0.596 0.842
Br1 0.208 0.094 0.735
Br2 0.792 0.906 0.265
# * E_form (uncorrected): 0.33 eV/atom
# * distance to the lowest polymorph of the same formula: 408 meV/atom

2.
# TiSCl2 PBE relaxed
data_TiSCl2
_space_group_name_H-M_alt 'P 1'
_space_group_IT_number 1
_cell_length_a 6.806
_cell_length_b 6.806
_cell_length_c 6.806
_cell_angle_alpha 96.52
_cell_angle_beta 96.52
_cell_angle_gamma 140.61
loop_
_space_group_symop_operation_xyz
'x,y,z'
loop_
_atom_site_label
_atom_site_fract_x
_atom_site_fract_y
_atom_site_fract_z
Ti1 0.000 0.000 0.000
Ti2 0.750 0.250 0.500
S1 0.250 0.750 0.500
S2 0.500 0.500 0.000
Cl1 0.375 0.222 0.347
Cl2 0.778 0.125 0.153
Cl3 0.875 0.028 0.653
Cl4 0.972 0.625 0.847
# * E_form (uncorrected): -1.04 eV/atom
# * distance to the lowest polymorph of the same formula: 0 meV/atom

3.
# LiLaTa3 PBE relaxed
data_LiLaTa3
_space_group_name_H-M_alt 'P 1'
_space_group_IT_number 1
_cell_length_a 4.956
_cell_length_b 4.956
_cell_length_c 4.956
_cell_angle_alpha 90.00
_cell_angle_beta 90.00
_cell_angle_gamma 90.00
loop_
_space_group_symop_operation_xyz
'x,y,z'
loop_
_atom_site_label
_atom_site_fract_x
_atom_site_fract_y
_atom_site_fract_z
Li1 0.000 0.000 0.000
La1 0.500 0.500 0.500
Ta1 0.000 0.500 0.500
Ta2 0.500 0.000 0.500
Ta3 0.500 0.500 0.000
# * energy relative to the elements: 2.14 eV/atom
# * distance to the lowest polymorph of the same formula: 912 meV/atom